Below is an optimized crystal structure of Al5Ni4Ir, with properties calculated at the PBE level.

Cell: 2.930 2.930 14.507 Å, 90.00 90.00 90.00°
Fractional coordinates of all 10 atoms:
Al (0.500, 0.500, 0.108)
Al (0.500, 0.500, 0.304)
Al (0.500, 0.500, 0.500)
Al (0.500, 0.500, 0.696)
Al (0.500, 0.500, 0.892)
Ni (0.000, 0.000, 0.206)
Ni (0.000, 0.000, 0.402)
Ni (0.000, 0.000, 0.598)
Ni (0.000, 0.000, 0.794)
Ir (0.000, 0.000, 0.000)

Computed properties:
Spin magnetization = 0.000 μB/atom
Total energy = -57.830 eV per cell
Space group = P4/mmm